Density functional theory data (PBE) for crystalline KMnFe2 at its relaxed geometry.

Structure (extended XYZ):
```
4
Lattice="3.045 0.000 0.000 0.000 3.045 0.000 0.000 0.000 8.245" Properties=species:S:1:pos:R:3 pbc="T T T"
K 0.000 0.000 0.000
Mn 1.522 1.522 2.899
Fe 0.000 0.000 4.352
Fe 1.522 1.522 5.493
```

## Properties
ρ	4.47	Mg/m³
crystal system	tetragonal
total DFT energy (no corrections)	-6.118	eV per atom
ΔE_f	15.687	kcal/mol of atoms
ΔE to the lowest computed polymorph	0	kJ/mol of formula units

=====

Density functional theory data (PBE) for crystalline K2MnFe at its relaxed geometry.

Structure (extended XYZ):
```
4
Lattice="1.885 -2.449 0.000 1.885 2.449 0.000 0.000 0.000 11.607" Properties=species:S:1:pos:R:3 pbc="T T T"
K 0.000 0.000 2.749
K 0.000 0.000 8.858
Mn 1.885 0.000 5.804
Fe 1.885 0.000 0.000
```

## Properties
ρ	2.93	Mg/m³
crystal system	orthorhombic
total DFT energy (no corrections)	-3.677	eV per atom
ΔE_f	29.512	kcal/mol of atoms
ΔE to the lowest computed polymorph	193	kJ/mol of formula units

=====

Density functional theory data (PBE) for crystalline K3MnFe at its relaxed geometry.

Structure (extended XYZ):
```
5
Lattice="6.515 0.000 0.000 0.000 6.515 0.000 0.000 0.000 6.515" Properties=species:S:1:pos:R:3 pbc="T T T"
K 0.000 0.000 3.258
K 0.000 3.258 0.000
K 3.258 0.000 0.000
Mn 3.258 3.258 3.258
Fe 0.000 0.000 0.000
```

## Properties
ρ	1.37	Mg/m³
crystal system	cubic
total DFT energy (no corrections)	-2.897	eV per atom
ΔE_f	29.703	kcal/mol of atoms
ΔE to the lowest computed polymorph	0	kJ/mol of formula units